Record 1
Here is a relaxed structure of PtRhBr2 from Alexandria. Energies are from PBE-GGA.

VASP energy = -0.242 Ry per atom
energy relative to the lowest polymorph listed for this composition = 0.931 eV per atom
space group = F-43m (216)
energy relative to the elements, uncorrected = 20.701 kcal/mol of atoms
spin magnetization = 0.88 μB/cell
N(E_F) = 4.42 states/eV per cell

```
PtRhBr2
1.0
-0.2253 -2.1234 -4.2413
3.8775 -0.2733 -2.7273
2.1371 -4.1862 -0.6759
Rh Br Pt
1 2 1
direct
0.7500 0.7500 0.7500
0.0000 0.0000 0.0000
0.2500 0.2500 0.2500
0.5000 0.5000 0.5000
```

---

Record 2
Here is a relaxed structure of Cs2P2PbO6 from Alexandria. Energies are from PBE-GGA.

VASP energy = -0.455 Ry per atom
space group = R-3m (166)
energy relative to the elements, uncorrected = -46.265 kcal/mol of atoms
spin magnetization = 0.00 μB/cell
N(E_F) = 0.00 states/eV per cell

```
Cs2P2PbO6
1.0
6.2637 0.0000 0.0000
-3.1319 5.4208 -0.2188
0.0000 -3.3712 6.1852
Cs P Pb O
2 2 1 6
direct
0.7287 0.4575 0.1864
0.2713 0.5425 0.8136
0.9385 0.8771 0.8154
0.0615 0.1229 0.1846
0.5000 0.0000 0.5000
0.7773 0.5546 0.7437
0.2225 0.0328 0.2558
0.1897 0.9672 0.7442
0.7775 0.9672 0.7442
0.8103 0.0328 0.2558
0.2227 0.4454 0.2563
```

---

Q: Among the records above, which one has the lowest N(E_F)?
A: Cs2P2PbO6